First-principles (PBE+U) data for crystalline Cs2AcCr2O7 at its relaxed geometry, as listed in the Alexandria database.

As for the calculated volume: 263.90 Å³/cell. Its electronic total energy is -0.485 Ry/atom.

Unit cell a=6.364 b=6.364 c=8.372 alpha=67.66 beta=67.66 gamma=60.00
Site moments in Bohr magnetons follow the coordinates.
Positions (direct):
O  0.798  0.253  0.695  -0.05
O  0.253  0.253  0.695  -0.05
O  0.202  0.747  0.305  -0.05
O  0.000  0.000  0.000  -0.09
O  0.253  0.798  0.695  -0.05
O  0.747  0.747  0.305  -0.05
O  0.747  0.202  0.305  -0.05
Cr  0.920  0.920  0.239  1.65
Cr  0.080  0.080  0.761  1.65
Cs  0.275  0.275  0.175  0.00
Cs  0.725  0.725  0.825  0.00
Ac  0.500  0.500  0.500  0.00